# SnHg2F6 PBE-GGA optimized geometry
# - Space group: P4_2/mnm (136)
# - Raw total energy: -3.629 eV/atom
data_SnHg2F6
_chemical_formula_sum 'Sn2 Hg4 F12'
_symmetry_space_group_name_H-M 'P 1'
_symmetry_Int_Tables_number 1
_cell_length_a 5.9194
_cell_length_b 5.9194
_cell_length_c 9.4839
_cell_angle_alpha 90.00
_cell_angle_beta 90.00
_cell_angle_gamma 90.00
loop_
_symmetry_equiv_pos_as_xyz
'x,y,z'
loop_
_atom_site_label
_atom_site_type_symbol
_atom_site_fract_x
_atom_site_fract_y
_atom_site_fract_z
_atom_site_occupancy
F1 F 0.2317 0.2317 0.0000 1
F2 F 0.7683 0.7683 0.0000 1
F3 F 0.8342 0.1658 0.1559 1
F4 F 0.1658 0.8342 0.1559 1
F5 F 0.3342 0.3342 0.3441 1
F6 F 0.6658 0.6658 0.3441 1
F7 F 0.7317 0.2683 0.5000 1
F8 F 0.2683 0.7317 0.5000 1
F9 F 0.3342 0.3342 0.6559 1
F10 F 0.6658 0.6658 0.6559 1
F11 F 0.8342 0.1658 0.8441 1
F12 F 0.1658 0.8342 0.8441 1
Hg1 Hg 0.5000 0.5000 0.1368 1
Hg2 Hg 0.0000 0.0000 0.3632 1
Hg3 Hg 0.0000 0.0000 0.6368 1
Hg4 Hg 0.5000 0.5000 0.8632 1
Sn1 Sn 0.0000 0.0000 0.0000 1
Sn2 Sn 0.5000 0.5000 0.5000 1

---

# SnHg2Te2F2 PBE-GGA optimized geometry
# - Space group: P-4m2 (115)
# - Raw total energy: -2.697 eV/atom
data_SnHg2Te2F2
_chemical_formula_sum 'Sn1 Hg2 Te2 F2'
_symmetry_space_group_name_H-M 'P 1'
_symmetry_Int_Tables_number 1
_cell_length_a 4.1471
_cell_length_b 4.1471
_cell_length_c 9.5136
_cell_angle_alpha 90.00
_cell_angle_beta 90.00
_cell_angle_gamma 90.00
loop_
_symmetry_equiv_pos_as_xyz
'x,y,z'
loop_
_atom_site_label
_atom_site_type_symbol
_atom_site_fract_x
_atom_site_fract_y
_atom_site_fract_z
_atom_site_occupancy
F1 F 0.0000 0.0000 0.0000 1
F2 F 0.5000 0.5000 0.0000 1
Hg1 Hg 0.0000 0.5000 0.1505 1
Hg2 Hg 0.5000 0.0000 0.8495 1
Sn1 Sn 0.5000 0.5000 0.5000 1
Te1 Te 0.5000 0.0000 0.2875 1
Te2 Te 0.0000 0.5000 0.7125 1

---

# SrHg2F8 PBE-GGA optimized geometry
# - Space group: I422 (97)
# - Raw total energy: -3.378 eV/atom
data_SrHg2F8
_chemical_formula_sum 'Sr1 Hg2 F8'
_symmetry_space_group_name_H-M 'P 1'
_symmetry_Int_Tables_number 1
_cell_length_a 6.7822
_cell_length_b 6.7822
_cell_length_c 6.7822
_cell_angle_alpha 132.44
_cell_angle_beta 132.44
_cell_angle_gamma 69.53
loop_
_symmetry_equiv_pos_as_xyz
'x,y,z'
loop_
_atom_site_label
_atom_site_type_symbol
_atom_site_fract_x
_atom_site_fract_y
_atom_site_fract_z
_atom_site_occupancy
F1 F 0.9267 0.4196 0.0932 1
F2 F 0.1664 0.6736 0.0932 1
F3 F 0.0733 0.1664 0.4929 1
F4 F 0.4196 0.3264 0.4929 1
F5 F 0.6736 0.5804 0.5071 1
F6 F 0.8336 0.9267 0.5071 1
F7 F 0.5804 0.0733 0.9068 1
F8 F 0.3264 0.8336 0.9068 1
Hg1 Hg 0.7500 0.2500 0.5000 1
Hg2 Hg 0.2500 0.7500 0.5000 1
Sr1 Sr 0.5000 0.5000 0.0000 1

---

# Sr2HgTe2F2 PBE-GGA optimized geometry
# - Space group: P-4m2 (115)
# - Raw total energy: -4.145 eV/atom
data_Sr2HgTe2F2
_chemical_formula_sum 'Sr2 Hg1 Te2 F2'
_symmetry_space_group_name_H-M 'P 1'
_symmetry_Int_Tables_number 1
_cell_length_a 4.3002
_cell_length_b 4.3002
_cell_length_c 9.6580
_cell_angle_alpha 90.00
_cell_angle_beta 90.00
_cell_angle_gamma 90.00
loop_
_symmetry_equiv_pos_as_xyz
'x,y,z'
loop_
_atom_site_label
_atom_site_type_symbol
_atom_site_fract_x
_atom_site_fract_y
_atom_site_fract_z
_atom_site_occupancy
F1 F 0.0000 0.0000 0.0000 1
F2 F 0.5000 0.5000 0.0000 1
Hg1 Hg 0.0000 0.0000 0.5000 1
Sr1 Sr 0.0000 0.5000 0.1382 1
Sr2 Sr 0.5000 0.0000 0.8618 1
Te1 Te 0.5000 0.0000 0.3069 1
Te2 Te 0.0000 0.5000 0.6931 1

---

# SrHg2Te2F2 PBE-GGA optimized geometry
# - Space group: P-4m2 (115)
# - Raw total energy: -2.629 eV/atom
data_SrHg2Te2F2
_chemical_formula_sum 'Sr1 Hg2 Te2 F2'
_symmetry_space_group_name_H-M 'P 1'
_symmetry_Int_Tables_number 1
_cell_length_a 4.1402
_cell_length_b 4.1402
_cell_length_c 9.9487
_cell_angle_alpha 90.00
_cell_angle_beta 90.00
_cell_angle_gamma 90.00
loop_
_symmetry_equiv_pos_as_xyz
'x,y,z'
loop_
_atom_site_label
_atom_site_type_symbol
_atom_site_fract_x
_atom_site_fract_y
_atom_site_fract_z
_atom_site_occupancy
F1 F 0.0000 0.0000 0.5000 1
F2 F 0.5000 0.5000 0.5000 1
Hg1 Hg 0.5000 0.0000 0.3519 1
Hg2 Hg 0.0000 0.5000 0.6481 1
Sr1 Sr 0.5000 0.5000 0.0000 1
Te1 Te 0.0000 0.5000 0.2400 1
Te2 Te 0.5000 0.0000 0.7600 1

---

# Ta2Hg2F11 PBE-GGA optimized geometry
# - Space group: C2/c (15)
# - Raw total energy: -5.710 eV/atom
data_Ta2Hg2F11
_chemical_formula_sum 'Ta8 Hg8 F44'
_symmetry_space_group_name_H-M 'P 1'
_symmetry_Int_Tables_number 1
_cell_length_a 11.5629
_cell_length_b 11.5629
_cell_length_c 13.6941
_cell_angle_alpha 125.13
_cell_angle_beta 125.13
_cell_angle_gamma 35.97
loop_
_symmetry_equiv_pos_as_xyz
'x,y,z'
loop_
_atom_site_label
_atom_site_type_symbol
_atom_site_fract_x
_atom_site_fract_y
_atom_site_fract_z
_atom_site_occupancy
F1 F 0.3827 0.2081 0.0040 1
F2 F 0.2926 0.6828 0.0189 1
F3 F 0.1107 0.0754 0.0255 1
F4 F 0.8455 0.4683 0.0764 1
F5 F 0.5946 0.3016 0.1068 1
F6 F 0.7856 0.9493 0.1145 1
F7 F 0.3316 0.1402 0.1325 1
F8 F 0.4935 0.8008 0.1370 1
F9 F 0.0061 0.0805 0.1506 1
F10 F 0.7180 0.4968 0.2328 1
F11 F 0.7207 0.8928 0.2458 1
F12 F 0.1072 0.2793 0.2542 1
F13 F 0.5032 0.2820 0.2672 1
F14 F 0.9195 0.9939 0.3494 1
F15 F 0.1992 0.5065 0.3630 1
F16 F 0.8598 0.6684 0.3675 1
F17 F 0.0507 0.2144 0.3855 1
F18 F 0.6984 0.4054 0.3932 1
F19 F 0.5317 0.1545 0.4236 1
F20 F 0.9246 0.8893 0.4745 1
F21 F 0.3172 0.7074 0.4811 1
F22 F 0.7919 0.6173 0.4960 1
F23 F 0.2081 0.3827 0.5040 1
F24 F 0.6828 0.2926 0.5189 1
F25 F 0.0754 0.1107 0.5255 1
F26 F 0.4683 0.8455 0.5764 1
F27 F 0.3016 0.5946 0.6068 1
F28 F 0.9493 0.7856 0.6145 1
F29 F 0.1402 0.3316 0.6325 1
F30 F 0.8008 0.4935 0.6370 1
F31 F 0.0805 0.0061 0.6506 1
F32 F 0.4968 0.7180 0.7328 1
F33 F 0.8928 0.7207 0.7458 1
F34 F 0.2793 0.1072 0.7542 1
F35 F 0.2820 0.5032 0.7672 1
F36 F 0.9939 0.9195 0.8494 1
F37 F 0.5065 0.1992 0.8630 1
F38 F 0.6684 0.8598 0.8675 1
F39 F 0.2144 0.0507 0.8855 1
F40 F 0.4054 0.6984 0.8932 1
F41 F 0.1545 0.5317 0.9236 1
F42 F 0.8893 0.9246 0.9745 1
F43 F 0.7074 0.3172 0.9811 1
F44 F 0.6173 0.7919 0.9960 1
Hg1 Hg 0.0352 0.5372 0.1284 1
Hg2 Hg 0.2112 0.6478 0.2095 1
Hg3 Hg 0.3522 0.7888 0.2905 1
Hg4 Hg 0.4628 0.9648 0.3716 1
Hg5 Hg 0.5372 0.0352 0.6284 1
Hg6 Hg 0.6478 0.2112 0.7095 1
Hg7 Hg 0.7888 0.3522 0.7905 1
Hg8 Hg 0.9648 0.4628 0.8716 1
Ta1 Ta 0.3848 0.9104 0.0107 1
Ta2 Ta 0.8931 0.3065 0.1292 1
Ta3 Ta 0.6935 0.1069 0.3708 1
Ta4 Ta 0.0896 0.6152 0.4893 1
Ta5 Ta 0.9104 0.3848 0.5107 1
Ta6 Ta 0.3065 0.8931 0.6292 1
Ta7 Ta 0.1069 0.6935 0.8708 1
Ta8 Ta 0.6152 0.0896 0.9893 1

---

# Ta4HgF22 PBE-GGA optimized geometry
# - Space group: P-1 (2)
# - Raw total energy: -6.240 eV/atom
data_Ta4HgF22
_chemical_formula_sum 'Ta8 Hg2 F44'
_symmetry_space_group_name_H-M 'P 1'
_symmetry_Int_Tables_number 1
_cell_length_a 8.4669
_cell_length_b 9.1143
_cell_length_c 10.5610
_cell_angle_alpha 114.06
_cell_angle_beta 103.94
_cell_angle_gamma 98.74
loop_
_symmetry_equiv_pos_as_xyz
'x,y,z'
loop_
_atom_site_label
_atom_site_type_symbol
_atom_site_fract_x
_atom_site_fract_y
_atom_site_fract_z
_atom_site_occupancy
F1 F 0.9407 0.3655 0.0029 1
F2 F 0.2295 0.1562 0.0076 1
F3 F 0.7313 0.5715 0.0597 1
F4 F 0.2410 0.9431 0.1235 1
F5 F 0.5076 0.7941 0.1265 1
F6 F 0.0080 0.1448 0.1300 1
F7 F 0.4960 0.3984 0.1305 1
F8 F 0.5186 0.1037 0.1426 1
F9 F 0.7725 0.3102 0.1713 1
F10 F 0.9977 0.8423 0.2059 1
F11 F 0.2483 0.4506 0.2259 1
F12 F 0.3110 0.7378 0.2607 1
F13 F 0.8101 0.0388 0.2613 1
F14 F 0.0032 0.5988 0.2754 1
F15 F 0.7822 0.8019 0.3305 1
F16 F 0.4292 0.3443 0.3680 1
F17 F 0.1911 0.1459 0.3774 1
F18 F 0.0468 0.4041 0.3850 1
F19 F 0.7195 0.5619 0.3862 1
F20 F 0.4798 0.0685 0.4038 1
F21 F 0.7411 0.3029 0.4240 1
F22 F 0.1981 0.9209 0.4634 1
F23 F 0.8019 0.0791 0.5366 1
F24 F 0.2589 0.6971 0.5760 1
F25 F 0.5202 0.9315 0.5962 1
F26 F 0.2805 0.4381 0.6138 1
F27 F 0.9532 0.5959 0.6150 1
F28 F 0.8089 0.8541 0.6226 1
F29 F 0.5708 0.6557 0.6320 1
F30 F 0.2178 0.1981 0.6695 1
F31 F 0.9968 0.4012 0.7246 1
F32 F 0.1899 0.9612 0.7387 1
F33 F 0.6890 0.2622 0.7393 1
F34 F 0.7517 0.5494 0.7741 1
F35 F 0.0023 0.1577 0.7941 1
F36 F 0.2275 0.6898 0.8287 1
F37 F 0.4814 0.8963 0.8574 1
F38 F 0.5040 0.6016 0.8695 1
F39 F 0.9920 0.8552 0.8700 1
F40 F 0.4924 0.2059 0.8735 1
F41 F 0.7590 0.0569 0.8765 1
F42 F 0.2686 0.4285 0.9403 1
F43 F 0.7705 0.8438 0.9924 1
F44 F 0.0593 0.6345 0.9971 1
Hg1 Hg 0.0047 0.2338 0.4951 1
Hg2 Hg 0.9953 0.7662 0.5049 1
Ta1 Ta 0.7297 0.7956 0.1398 1
Ta2 Ta 0.0193 0.3682 0.1846 1
Ta3 Ta 0.5893 0.3321 0.2747 1
Ta4 Ta 0.2554 0.9376 0.2999 1
Ta5 Ta 0.7446 0.0624 0.7001 1
Ta6 Ta 0.4107 0.6679 0.7253 1
Ta7 Ta 0.9807 0.6318 0.8154 1
Ta8 Ta 0.2703 0.2044 0.8602 1

---

# TcHgF6 PBE-GGA optimized geometry
# - Space group: C2/m (12)
# - Raw total energy: -4.499 eV/atom
data_TcHgF6
_chemical_formula_sum 'Tc1 Hg1 F6'
_symmetry_space_group_name_H-M 'P 1'
_symmetry_Int_Tables_number 1
_cell_length_a 4.6271
_cell_length_b 4.6271
_cell_length_c 5.0250
_cell_angle_alpha 95.76
_cell_angle_beta 95.76
_cell_angle_gamma 107.41
loop_
_symmetry_equiv_pos_as_xyz
'x,y,z'
loop_
_atom_site_label
_atom_site_type_symbol
_atom_site_fract_x
_atom_site_fract_y
_atom_site_fract_z
_atom_site_occupancy
F1 F 0.5173 0.1728 0.2308 1
F2 F 0.1728 0.5173 0.2308 1
F3 F 0.8002 0.8002 0.3483 1
F4 F 0.1998 0.1998 0.6517 1
F5 F 0.8272 0.4827 0.7692 1
F6 F 0.4827 0.8272 0.7692 1
Hg1 Hg 0.0000 0.0000 0.0000 1
Tc1 Tc 0.5000 0.5000 0.5000 1

---

# Hg3Te2F2 PBE-GGA optimized geometry
# - Space group: I2_13 (199)
# - Raw total energy: -2.241 eV/atom
data_Hg3Te2F2
_chemical_formula_sum 'Hg6 Te4 F4'
_symmetry_space_group_name_H-M 'P 1'
_symmetry_Int_Tables_number 1
_cell_length_a 7.5272
_cell_length_b 7.5272
_cell_length_c 7.5272
_cell_angle_alpha 109.47
_cell_angle_beta 109.47
_cell_angle_gamma 109.47
loop_
_symmetry_equiv_pos_as_xyz
'x,y,z'
loop_
_atom_site_label
_atom_site_type_symbol
_atom_site_fract_x
_atom_site_fract_y
_atom_site_fract_z
_atom_site_occupancy
F1 F 0.4319 0.5000 0.0000 1
F2 F 0.0681 0.0681 0.0681 1
F3 F 0.5000 0.0000 0.4319 1
F4 F 0.0000 0.4319 0.5000 1
Hg1 Hg 0.7500 0.9296 0.1796 1
Hg2 Hg 0.5704 0.3204 0.2500 1
Hg3 Hg 0.2500 0.5704 0.3204 1
Hg4 Hg 0.3204 0.2500 0.5704 1
Hg5 Hg 0.9296 0.1796 0.7500 1
Hg6 Hg 0.1796 0.7500 0.9296 1
Te1 Te 0.8936 0.5000 0.0000 1
Te2 Te 0.0000 0.8936 0.5000 1
Te3 Te 0.6064 0.6064 0.6064 1
Te4 Te 0.5000 0.0000 0.8936 1

---

# Zn2HgTe2F2 PBE-GGA optimized geometry
# - Space group: P-4m2 (115)
# - Raw total energy: -2.637 eV/atom
data_Zn2HgTe2F2
_chemical_formula_sum 'Zn2 Hg1 Te2 F2'
_symmetry_space_group_name_H-M 'P 1'
_symmetry_Int_Tables_number 1
_cell_length_a 3.7437
_cell_length_b 3.7437
_cell_length_c 9.7423
_cell_angle_alpha 90.00
_cell_angle_beta 90.00
_cell_angle_gamma 90.00
loop_
_symmetry_equiv_pos_as_xyz
'x,y,z'
loop_
_atom_site_label
_atom_site_type_symbol
_atom_site_fract_x
_atom_site_fract_y
_atom_site_fract_z
_atom_site_occupancy
F1 F 0.0000 0.0000 0.0000 1
F2 F 0.5000 0.5000 0.0000 1
Hg1 Hg 0.5000 0.5000 0.5000 1
Te1 Te 0.5000 0.0000 0.2767 1
Te2 Te 0.0000 0.5000 0.7233 1
Zn1 Zn 0.0000 0.5000 0.1294 1
Zn2 Zn 0.5000 0.0000 0.8706 1

---

# ZnHg2Te2F2 PBE-GGA optimized geometry
# - Space group: P-4m2 (115)
# - Raw total energy: -2.327 eV/atom
data_ZnHg2Te2F2
_chemical_formula_sum 'Zn1 Hg2 Te2 F2'
_symmetry_space_group_name_H-M 'P 1'
_symmetry_Int_Tables_number 1
_cell_length_a 4.0087
_cell_length_b 4.0087
_cell_length_c 9.1368
_cell_angle_alpha 90.00
_cell_angle_beta 90.00
_cell_angle_gamma 90.00
loop_
_symmetry_equiv_pos_as_xyz
'x,y,z'
loop_
_atom_site_label
_atom_site_type_symbol
_atom_site_fract_x
_atom_site_fract_y
_atom_site_fract_z
_atom_site_occupancy
F1 F 0.0000 0.0000 0.5000 1
F2 F 0.5000 0.5000 0.5000 1
Hg1 Hg 0.0000 0.5000 0.3387 1
Hg2 Hg 0.5000 0.0000 0.6613 1
Te1 Te 0.5000 0.0000 0.1923 1
Te2 Te 0.0000 0.5000 0.8077 1
Zn1 Zn 0.5000 0.5000 0.0000 1

---

# Tl2HgF4 PBE-GGA optimized geometry
# - Space group: I4/mmm (139)
# - Raw total energy: -3.373 eV/atom
data_Tl2HgF4
_chemical_formula_sum 'Tl2 Hg1 F4'
_symmetry_space_group_name_H-M 'P 1'
_symmetry_Int_Tables_number 1
_cell_length_a 7.5115
_cell_length_b 7.5115
_cell_length_c 7.5115
_cell_angle_alpha 145.45
_cell_angle_beta 145.45
_cell_angle_gamma 49.67
loop_
_symmetry_equiv_pos_as_xyz
'x,y,z'
loop_
_atom_site_label
_atom_site_type_symbol
_atom_site_fract_x
_atom_site_fract_y
_atom_site_fract_z
_atom_site_occupancy
F1 F 0.1705 0.1705 0.0000 1
F2 F 0.8295 0.8295 0.0000 1
F3 F 0.5000 0.0000 0.5000 1
F4 F 0.0000 0.5000 0.5000 1
Hg1 Hg 0.0000 0.0000 0.0000 1
Tl1 Tl 0.3526 0.3526 0.0000 1
Tl2 Tl 0.6474 0.6474 0.0000 1